Entry 1:
# AsP2Ir

Crystalline AsP2Ir at its relaxed geometry (GGA-PBE, Alexandria).

Cell and atoms, written as extended XYZ:
```
4
Lattice="4.569 0.026 0.000 0.751 4.507 0.000 -2.660 -2.266 2.943" Properties=species:S:1:pos:R:3 pbc="T T T"
P 0.375 2.253 1.472
P 0.000 0.000 0.000
Ir 2.284 0.013 1.472
As 2.660 2.266 0.000
```

Results
As for the formation energy: 0.486 eV per atom.



Entry 2:
# AsIF2

Crystalline AsIF2 at its relaxed geometry (GGA-PBE, Alexandria).

Cell and atoms, written as extended XYZ:
```
8
Lattice="2.077 -1.856 7.177 -4.525 -2.802 5.562 1.935 -0.865 -7.401" Properties=species:S:1:pos:R:3 pbc="T T T"
F -1.566 -2.664 4.318
F -0.528 -3.591 7.906
As -1.224 -2.329 6.370
I 0.000 0.000 0.000
F -0.598 -3.096 0.617
As -1.907 -2.998 2.266
F 1.664 -1.695 -2.164
I 1.394 -2.525 3.073
```

Results
Its formation energy (no corrections) is -0.82 eV per atom.



Entry 3:
# Sc2C3

Crystalline Sc2C3 at its relaxed geometry (GGA-PBE, Alexandria).

Cell and atoms, written as extended XYZ:
```
5
Lattice="6.404 -1.536 -0.015 6.404 1.536 -0.015 6.042 0.000 2.620" Properties=species:S:1:pos:R:3 pbc="T T T"
Sc 11.279 0.000 1.550
C 15.526 0.000 2.133
Sc 7.572 0.000 1.040
C 3.325 0.000 0.457
C 0.000 0.000 0.000
```

Results
As for the formation energy: 0.169 eV per atom.



So what do the calculations give for raw total energy? Going down the list: -22.38, -26.45, -39.49 eV per cell.